Density functional theory data (GGA+U) for a relaxed structure of CsMgMn2F8.

**E**: -65.1 eV per cell
**Symmetry**: P-3, No. 147

a b c (Å): 5.469 5.469 7.686
angles (deg): 90.00 90.00 120.00
Positions (direct):
1 F 0.051 0.706 0.378
2 F 0.294 0.344 0.378
3 F 0.344 0.051 0.622
4 F 0.333 0.667 0.851
5 F 0.706 0.656 0.622
6 F 0.949 0.294 0.622
7 F 0.656 0.949 0.378
8 F 0.667 0.333 0.149
9 Mg 0.000 0.000 0.500
10 Cs 0.000 0.000 0.000
11 Mn 0.333 0.667 0.604
12 Mn 0.667 0.333 0.396